[1]
CoTcGe2: relaxed, GGA-PBE.

a = 6.128 Å, b = 6.128 Å, c = 6.128 Å
α = 90.00°, β = 90.00°, γ = 90.00°
Space group F-43m (No. 216)
Inequivalent atoms, fractional coordinates:
Co 0.000 0.000 0.000 (multiplicity 4)
Tc 0.250 0.250 0.750 (multiplicity 4)
Ge 0.000 0.000 0.500 (multiplicity 4)
Ge 0.250 0.250 0.250 (multiplicity 4)

Computed properties:
final energy = -101.2 eV per cell



[2]
Co2TcGe: relaxed, GGA-PBE.

a = 5.816 Å, b = 5.816 Å, c = 5.816 Å
α = 90.00°, β = 90.00°, γ = 90.00°
Space group F-43m (No. 216)
Inequivalent atoms, fractional coordinates:
Co 0.000 0.000 0.000 (multiplicity 4)
Co 0.250 0.250 0.250 (multiplicity 4)
Tc 0.250 0.250 0.750 (multiplicity 4)
Ge 0.000 0.000 0.500 (multiplicity 4)

Computed properties:
final energy = -116.2 eV per cell



Looking at calculated density for the records above, in order, we have 8.7 9.7 g cm⁻³.
Looking at V for the records above, in order, we have 230 197 Å³/cell.